a:
DFT (PBE) results for crystalline LaGa2Pd2 at its relaxed geometry.

Lattice parameters (Å, degrees): 6.2163 6.2163 6.2163 139.26 139.26 58.98
Fractional coordinates of all 5 atoms:
Ga: 0.7500 0.2500 0.5000
Ga: 0.2500 0.7500 0.5000
La: 0.0000 0.0000 0.0000
Pd: 0.3753 0.3753 0.0000
Pd: 0.6247 0.6247 0.0000

Values from the calculation:
Space group: No. 139

b:
DFT (PBE) results for crystalline LaGa2Pd2 at its relaxed geometry.

Lattice parameters (Å, degrees): 4.4676 4.4676 10.0106 90.00 90.00 90.00
Fractional coordinates of all 10 atoms:
Ga: 0.5000 0.0000 0.1229
Ga: 0.0000 0.0000 0.5000
Ga: 0.5000 0.5000 0.5000
Ga: 0.0000 0.5000 0.8771
La: 0.0000 0.5000 0.2489
La: 0.5000 0.0000 0.7511
Pd: 0.0000 0.0000 0.0000
Pd: 0.5000 0.5000 0.0000
Pd: 0.5000 0.0000 0.3722
Pd: 0.0000 0.5000 0.6278

Values from the calculation:
Space group: No. 129

Comparing the structures above, b comes out on top by 0.061 eV/atom.